# 1
This record from the Alexandria database describes crystalline Be9CrMo2 at its relaxed geometry. The functional is GGA-PBE.

a = 4.3858 Å, b = 4.3858 Å, c = 13.8513 Å
α = 90.00°, β = 90.00°, γ = 120.00°
Fractional positions:
Be: 0.0000 0.0000 0.0000
Be: 0.0000 0.0000 0.2500
Be: 0.0000 0.0000 0.5000
Be: 0.0000 0.0000 0.7500
Be: 0.1684 0.3368 0.1274
Be: 0.1684 0.3368 0.3726
Be: 0.1684 0.8316 0.1274
Be: 0.1684 0.8316 0.3726
Be: 0.3333 0.6667 0.2500
Be: 0.3368 0.1684 0.6274
Be: 0.3368 0.1684 0.8726
Be: 0.6632 0.8316 0.1274
Be: 0.6632 0.8316 0.3726
Be: 0.6667 0.3333 0.7500
Be: 0.8316 0.1684 0.6274
Be: 0.8316 0.1684 0.8726
Be: 0.8316 0.6632 0.6274
Be: 0.8316 0.6632 0.8726
Cr: 0.3333 0.6667 0.7500
Cr: 0.6667 0.3333 0.2500
Mo: 0.3333 0.6667 0.5322
Mo: 0.3333 0.6667 0.9678
Mo: 0.6667 0.3333 0.0322
Mo: 0.6667 0.3333 0.4678

Values from the calculation:
Space group: P6_3/mmc (194)

# 2
This record from the Alexandria database describes crystalline Be2CrMo at its relaxed geometry. The functional is GGA-PBE.

a = 2.5950 Å, b = 2.5950 Å, c = 24.6552 Å
α = 90.00°, β = 90.00°, γ = 120.00°
Fractional positions:
Be: 0.0000 0.0000 0.0000
Be: 0.0000 0.0000 0.2597
Be: 0.3333 0.6667 0.6667
Be: 0.3333 0.6667 0.9264
Be: 0.6667 0.3333 0.3333
Be: 0.6667 0.3333 0.5930
Cr: 0.0000 0.0000 0.5145
Cr: 0.3333 0.6667 0.1812
Cr: 0.6667 0.3333 0.8478
Mo: 0.0000 0.0000 0.7529
Mo: 0.3333 0.6667 0.4196
Mo: 0.6667 0.3333 0.0862

Values from the calculation:
Space group: R3m (160)
E above lowest polymorph: 483 meV per atom

# 3
This record from the Alexandria database describes crystalline Be2CrMo at its relaxed geometry. The functional is GGA-PBE.

a = 3.3640 Å, b = 3.9229 Å, c = 6.7314 Å
α = 90.00°, β = 90.00°, γ = 90.00°
Fractional positions:
Be: 0.0000 0.0000 0.0000
Be: 0.0000 0.5000 0.1817
Be: 0.5000 0.0000 0.1817
Be: 0.5000 0.5000 0.0000
Cr: 0.0000 0.0000 0.4127
Cr: 0.5000 0.5000 0.4127
Mo: 0.0000 0.5000 0.7358
Mo: 0.5000 0.0000 0.7358

Values from the calculation:
Space group: Cmm2 (35)
E above lowest polymorph: 204 meV per atom

# 4
This record from the Alexandria database describes crystalline Be2CrMo at its relaxed geometry. The functional is GGA-PBE.

a = 5.6497 Å, b = 5.6497 Å, c = 5.6497 Å
α = 90.00°, β = 90.00°, γ = 90.00°
Fractional positions:
Be: 0.2500 0.2500 0.2500
Be: 0.2500 0.2500 0.7500
Be: 0.2500 0.7500 0.2500
Be: 0.2500 0.7500 0.7500
Be: 0.7500 0.2500 0.2500
Be: 0.7500 0.2500 0.7500
Be: 0.7500 0.7500 0.2500
Be: 0.7500 0.7500 0.7500
Cr: 0.0000 0.0000 0.0000
Cr: 0.0000 0.5000 0.5000
Cr: 0.5000 0.0000 0.5000
Cr: 0.5000 0.5000 0.0000
Mo: 0.0000 0.0000 0.5000
Mo: 0.0000 0.5000 0.0000
Mo: 0.5000 0.0000 0.0000
Mo: 0.5000 0.5000 0.5000

Values from the calculation:
Space group: Fm-3m (225)
E above lowest polymorph: 242 meV per atom

# 5
This record from the Alexandria database describes crystalline BeCrMo2 at its relaxed geometry. The functional is GGA-PBE.

a = 3.1802 Å, b = 4.2113 Å, c = 7.8573 Å
α = 90.00°, β = 90.00°, γ = 90.00°
Fractional positions:
Be: 0.0000 0.0000 0.0000
Be: 0.5000 0.5000 0.0000
Cr: 0.0000 0.5000 0.2087
Cr: 0.5000 0.0000 0.2087
Mo: 0.0000 0.0000 0.4730
Mo: 0.0000 0.5000 0.7656
Mo: 0.5000 0.0000 0.7656
Mo: 0.5000 0.5000 0.4730

Values from the calculation:
Space group: Cmm2 (35)

# 6
This record from the Alexandria database describes crystalline Be2Cr2Mo at its relaxed geometry. The functional is GGA-PBE.

a = 3.8222 Å, b = 3.8222 Å, c = 8.0510 Å
α = 90.00°, β = 90.00°, γ = 90.00°
Fractional positions:
Be: 0.0000 0.5000 0.2500
Be: 0.0000 0.5000 0.7500
Be: 0.5000 0.0000 0.2500
Be: 0.5000 0.0000 0.7500
Cr: 0.0000 0.0000 0.1181
Cr: 0.0000 0.0000 0.8819
Cr: 0.5000 0.5000 0.3819
Cr: 0.5000 0.5000 0.6181
Mo: 0.0000 0.0000 0.5000
Mo: 0.5000 0.5000 0.0000

Values from the calculation:
Space group: I4/mmm (139)
E above lowest polymorph: 613 meV per atom

# 7
This record from the Alexandria database describes crystalline Be17CrMo at its relaxed geometry. The functional is GGA-PBE.

a = 5.4797 Å, b = 5.4797 Å, c = 5.4797 Å
α = 82.92°, β = 82.92°, γ = 82.92°
Fractional positions:
Be: 0.0531 0.0531 0.0531
Be: 0.1524 0.4564 0.8551
Be: 0.1524 0.8551 0.4564
Be: 0.1574 0.1574 0.6536
Be: 0.1574 0.6536 0.1574
Be: 0.2550 0.2550 0.2550
Be: 0.3129 0.8056 0.8056
Be: 0.4564 0.1524 0.8551
Be: 0.4564 0.8551 0.1524
Be: 0.5044 0.5044 0.9912
Be: 0.5044 0.9912 0.5044
Be: 0.6536 0.1574 0.1574
Be: 0.8056 0.3129 0.8056
Be: 0.8056 0.8056 0.3129
Be: 0.8551 0.1524 0.4564
Be: 0.8551 0.4564 0.1524
Be: 0.9912 0.5044 0.5044
Cr: 0.8158 0.8158 0.8158
Mo: 0.4936 0.4936 0.4936

Values from the calculation:
Space group: R3m (160)

# 8
This record from the Alexandria database describes crystalline Be2Cr2Mo at its relaxed geometry. The functional is GGA-PBE.

a = 6.8167 Å, b = 6.8167 Å, c = 2.4425 Å
α = 90.00°, β = 90.00°, γ = 90.00°
Fractional positions:
Be: 0.1788 0.3212 0.0000
Be: 0.3212 0.8212 0.0000
Be: 0.6788 0.1788 0.0000
Be: 0.8212 0.6788 0.0000
Cr: 0.1164 0.6164 0.5000
Cr: 0.3836 0.1164 0.5000
Cr: 0.6164 0.8836 0.5000
Cr: 0.8836 0.3836 0.5000
Mo: 0.0000 0.0000 0.5000
Mo: 0.5000 0.5000 0.5000

Values from the calculation:
Space group: P4/mbm (127)
E above lowest polymorph: 268 meV per atom

# 9
This record from the Alexandria database describes crystalline BeCrMo2 at its relaxed geometry. The functional is GGA-PBE.

a = 3.1264 Å, b = 3.1264 Å, c = 5.3979 Å
α = 90.00°, β = 90.00°, γ = 90.00°
Fractional positions:
Be: 0.0000 0.0000 0.0000
Cr: 0.5000 0.5000 0.2092
Mo: 0.0000 0.0000 0.4799
Mo: 0.5000 0.5000 0.7711

Values from the calculation:
Space group: P4mm (99)

# 10
This record from the Alexandria database describes crystalline BeCrMo2 at its relaxed geometry. The functional is GGA-PBE.

a = 2.6855 Å, b = 2.6855 Å, c = 26.3150 Å
α = 90.00°, β = 90.00°, γ = 120.00°
Fractional positions:
Be: 0.0000 0.0000 0.0000
Be: 0.3333 0.6667 0.6667
Be: 0.6667 0.3333 0.3333
Cr: 0.0000 0.0000 0.2614
Cr: 0.3333 0.6667 0.9281
Cr: 0.6667 0.3333 0.5948
Mo: 0.0000 0.0000 0.5071
Mo: 0.0000 0.0000 0.7461
Mo: 0.3333 0.6667 0.1738
Mo: 0.3333 0.6667 0.4127
Mo: 0.6667 0.3333 0.0794
Mo: 0.6667 0.3333 0.8405

Values from the calculation:
Space group: R3m (160)

# 11
This record from the Alexandria database describes crystalline Be2CrMo at its relaxed geometry. The functional is GGA-PBE.

a = 8.8250 Å, b = 2.4743 Å, c = 4.2584 Å
α = 90.00°, β = 106.69°, γ = 90.00°
Fractional positions:
Be: 0.0000 0.0000 0.0000
Be: 0.1940 0.5000 0.2926
Be: 0.5000 0.5000 0.0000
Be: 0.6940 0.0000 0.2926
Cr: 0.4449 0.0000 0.4668
Cr: 0.9449 0.5000 0.4668
Mo: 0.2446 0.0000 0.8175
Mo: 0.7446 0.5000 0.8175

Values from the calculation:
Space group: Cm (8)
E above lowest polymorph: 199 meV per atom

# 12
This record from the Alexandria database describes crystalline Be2CrMo at its relaxed geometry. The functional is GGA-PBE.

a = 3.2133 Å, b = 3.0667 Å, c = 8.7128 Å
α = 90.00°, β = 90.00°, γ = 90.00°
Fractional positions:
Be: 0.0000 0.0000 0.0000
Be: 0.0000 0.5000 0.5000
Be: 0.5000 0.0000 0.1362
Be: 0.5000 0.5000 0.6362
Cr: 0.0000 0.0000 0.7232
Cr: 0.0000 0.5000 0.2232
Mo: 0.5000 0.0000 0.4058
Mo: 0.5000 0.5000 0.9058

Values from the calculation:
Space group: Amm2 (38)
E above lowest polymorph: 0 meV per atom

# 13
This record from the Alexandria database describes crystalline BeCrMo4 at its relaxed geometry. The functional is GGA-PBE.

a = 5.1189 Å, b = 5.1189 Å, c = 5.1189 Å
α = 60.00°, β = 60.00°, γ = 60.00°
Fractional positions:
Be: 0.0000 0.0000 0.0000
Cr: 0.7500 0.7500 0.7500
Mo: 0.3746 0.3746 0.3746
Mo: 0.3746 0.3746 0.8762
Mo: 0.3746 0.8762 0.3746
Mo: 0.8762 0.3746 0.3746

Values from the calculation:
Space group: F-43m (216)

# 14
This record from the Alexandria database describes crystalline Be2CrMo at its relaxed geometry. The functional is GGA-PBE.

a = 5.6736 Å, b = 5.6736 Å, c = 5.6736 Å
α = 90.00°, β = 90.00°, γ = 90.00°
Fractional positions:
Be: 0.0000 0.0000 0.0000
Be: 0.0000 0.5000 0.5000
Be: 0.2500 0.2500 0.2500
Be: 0.2500 0.7500 0.7500
Be: 0.5000 0.0000 0.5000
Be: 0.5000 0.5000 0.0000
Be: 0.7500 0.2500 0.7500
Be: 0.7500 0.7500 0.2500
Cr: 0.0000 0.0000 0.5000
Cr: 0.0000 0.5000 0.0000
Cr: 0.5000 0.0000 0.0000
Cr: 0.5000 0.5000 0.5000
Mo: 0.2500 0.2500 0.7500
Mo: 0.2500 0.7500 0.2500
Mo: 0.7500 0.2500 0.2500
Mo: 0.7500 0.7500 0.7500

Values from the calculation:
Space group: F-43m (216)
E above lowest polymorph: 228 meV per atom

# 15
This record from the Alexandria database describes crystalline Be2CrMo at its relaxed geometry. The functional is GGA-PBE.

a = 2.6028 Å, b = 2.6028 Å, c = 24.2741 Å
α = 90.00°, β = 90.00°, γ = 120.00°
Fractional positions:
Be: 0.0000 0.0000 0.2460
Be: 0.0000 0.0000 0.7540
Be: 0.3333 0.6667 0.4207
Be: 0.3333 0.6667 0.9127
Be: 0.6667 0.3333 0.0873
Be: 0.6667 0.3333 0.5793
Cr: 0.0000 0.0000 0.5000
Cr: 0.3333 0.6667 0.1667
Cr: 0.6667 0.3333 0.8333
Mo: 0.0000 0.0000 0.0000
Mo: 0.3333 0.6667 0.6667
Mo: 0.6667 0.3333 0.3333

Values from the calculation:
Space group: R-3m (166)
E above lowest polymorph: 466 meV per atom

# 16
This record from the Alexandria database describes crystalline BeCrMo2 at its relaxed geometry. The functional is GGA-PBE.

a = 3.5263 Å, b = 3.5263 Å, c = 8.4993 Å
α = 90.00°, β = 90.00°, γ = 90.00°
Fractional positions:
Be: 0.0000 0.0000 0.0000
Be: 0.5000 0.5000 0.5000
Cr: 0.0000 0.5000 0.7500
Cr: 0.5000 0.0000 0.2500
Mo: 0.0000 0.0000 0.5000
Mo: 0.0000 0.5000 0.2500
Mo: 0.5000 0.0000 0.7500
Mo: 0.5000 0.5000 0.0000

Values from the calculation:
Space group: I-4m2 (119)

# 17
This record from the Alexandria database describes crystalline Be2CrMo at its relaxed geometry. The functional is GGA-PBE.

a = 3.3965 Å, b = 3.8336 Å, c = 6.9026 Å
α = 90.00°, β = 90.00°, γ = 90.00°
Fractional positions:
Be: 0.0000 0.0000 0.2366
Be: 0.0000 0.0000 0.7634
Be: 0.5000 0.5000 0.2366
Be: 0.5000 0.5000 0.7634
Cr: 0.0000 0.5000 0.0000
Cr: 0.5000 0.0000 0.0000
Mo: 0.0000 0.5000 0.5000
Mo: 0.5000 0.0000 0.5000

Values from the calculation:
Space group: Cmmm (65)
E above lowest polymorph: 199 meV per atom

# 18
This record from the Alexandria database describes crystalline BeCrMo2 at its relaxed geometry. The functional is GGA-PBE.

a = 2.6254 Å, b = 4.2501 Å, c = 4.8593 Å
α = 90.00°, β = 99.86°, γ = 90.00°
Fractional positions:
Be: 0.0000 0.0000 0.0000
Cr: 0.8633 0.5000 0.2635
Mo: 0.3630 0.5000 0.7783
Mo: 0.6006 0.0000 0.4837

Values from the calculation:
Space group: Pm (6)

# 19
This record from the Alexandria database describes crystalline BeCrMo2 at its relaxed geometry. The functional is GGA-PBE.

a = 2.7080 Å, b = 2.7080 Å, c = 25.8924 Å
α = 90.00°, β = 90.00°, γ = 120.00°
Fractional positions:
Be: 0.0000 0.0000 0.0000
Be: 0.3333 0.6667 0.6667
Be: 0.6667 0.3333 0.3333
Cr: 0.0000 0.0000 0.5000
Cr: 0.3333 0.6667 0.1667
Cr: 0.6667 0.3333 0.8333
Mo: 0.0000 0.0000 0.2531
Mo: 0.0000 0.0000 0.7469
Mo: 0.3333 0.6667 0.4136
Mo: 0.3333 0.6667 0.9198
Mo: 0.6667 0.3333 0.0802
Mo: 0.6667 0.3333 0.5864

Values from the calculation:
Space group: R-3m (166)

# 20
This record from the Alexandria database describes crystalline BeCr4Mo at its relaxed geometry. The functional is GGA-PBE.

a = 4.7106 Å, b = 4.7106 Å, c = 4.7106 Å
α = 60.00°, β = 60.00°, γ = 60.00°
Fractional positions:
Be: 0.0000 0.0000 0.0000
Cr: 0.1216 0.6261 0.6261
Cr: 0.6261 0.1216 0.6261
Cr: 0.6261 0.6261 0.1216
Cr: 0.6261 0.6261 0.6261
Mo: 0.2500 0.2500 0.2500

Values from the calculation:
Space group: F-43m (216)

no.,energy of formation (kcal/mol of atoms)
1,-3.901
2,9.328
3,2.876
4,3.759
5,2.909
6,13.926
7,-2.640
8,5.978
9,2.542
10,10.325
11,2.773
12,-1.818
13,14.482
14,3.428
15,8.934
16,4.371
17,2.774
18,3.311
19,9.452
20,3.418